Entry 1:
# Nd5SeS4, optimized geometry, DFT GGA-PBE
# ΔE_f (raw): -190.6 kJ/mol of atoms
# E: -6.359 eV per atom
data_Nd5SeS4
_symmetry_space_group_name_H-M 'I 4/m m m'
_symmetry_Int_Tables_number 139
_symmetry_space_group_name_Hall '-I 4 2'
_cell_length_a 4.101
_cell_length_b 4.101
_cell_length_c 29.055
_cell_angle_alpha 90.00
_cell_angle_beta 90.00
_cell_angle_gamma 90.00
loop_
_atom_site_label
_atom_site_type_symbol
_atom_site_fract_x
_atom_site_fract_y
_atom_site_fract_z
Nd1 Nd 0.000 0.000 0.000
Nd2 Nd 0.000 0.000 0.199
Nd3 Nd 0.000 0.000 0.397
Se1 Se 0.000 0.000 0.500
S1 S 0.000 0.000 0.100
S2 S 0.000 0.000 0.298

=====

Entry 2:
# SrPb4Au4, optimized geometry, DFT GGA-PBE
# E_form: -1.95 eV per formula unit
# E: -3.509 eV per atom
data_SrPb4Au4
_symmetry_space_group_name_H-M 'P 42/n'
_symmetry_Int_Tables_number 86
_cell_length_a 9.557
_cell_length_b 9.557
_cell_length_c 5.890
_cell_angle_alpha 90.00
_cell_angle_beta 90.00
_cell_angle_gamma 90.00
loop_
_symmetry_equiv_pos_as_xyz
'x,y,z'
'-x,-y,-z'
'-y,x+1/2,z+1/2'
'y,-x+1/2,-z+1/2'
'-x+1/2,-y+1/2,z'
'x+1/2,y+1/2,-z'
'y+1/2,-x,z+1/2'
'-y+1/2,x,-z+1/2'
loop_
_atom_site_label
_atom_site_type_symbol
_atom_site_fract_x
_atom_site_fract_y
_atom_site_fract_z
Sr1 Sr 0.250 0.250 0.250
Pb1 Pb 0.099 0.637 0.139
Au1 Au 0.046 0.610 0.642

=====

Entry 3:
# TaCu2Au, optimized geometry, DFT GGA-PBE
# E_form: 2.16 eV per formula unit
# excess energy over the best structure of this formula in the dataset: 514 meV per atom
# E: -5.290 eV per atom
data_TaCu2Au
_symmetry_space_group_name_H-M 'I -4 2 d'
_symmetry_Int_Tables_number 122
_symmetry_space_group_name_Hall 'I -4 2bw'
_cell_length_a 7.041
_cell_length_b 7.041
_cell_length_c 5.328
_cell_angle_alpha 90.00
_cell_angle_beta 90.00
_cell_angle_gamma 90.00
loop_
_atom_site_label
_atom_site_type_symbol
_atom_site_fract_x
_atom_site_fract_y
_atom_site_fract_z
Ta1 Ta 0.000 0.000 0.000
Cu1 Cu 0.250 0.250 0.125
Au1 Au 0.000 0.000 0.500

=====

Entry 4:
# RbInSe2Br, optimized geometry, DFT GGA-PBE
# ΔE_f (raw): 26.8 kJ/mol of atoms
# excess energy over the best structure of this formula in the dataset: 889 meV per atom
# E: -2.192 eV per atom
data_RbInSe2Br
_symmetry_space_group_name_H-M 'P 4/m m m'
_symmetry_Int_Tables_number 123
_symmetry_space_group_name_Hall '-P 4 2'
_cell_length_a 6.294
_cell_length_b 6.294
_cell_length_c 6.338
_cell_angle_alpha 90.00
_cell_angle_beta 90.00
_cell_angle_gamma 90.00
loop_
_atom_site_label
_atom_site_type_symbol
_atom_site_fract_x
_atom_site_fract_y
_atom_site_fract_z
Rb1 Rb 0.000 0.000 0.000
In1 In 0.500 0.500 0.500
Se1 Se 0.000 0.500 0.000
Br1 Br 0.000 0.000 0.500

=====

Entry 5:
# CaPb2IBr, optimized geometry, DFT GGA-PBE
# ΔE_f (raw): -15.9 kJ/mol of atoms
# E: -2.693 eV per atom
data_CaPb2IBr
_symmetry_space_group_name_H-M 'P 4/m m m'
_symmetry_Int_Tables_number 123
_symmetry_space_group_name_Hall '-P 4 2'
_cell_length_a 6.261
_cell_length_b 6.261
_cell_length_c 5.403
_cell_angle_alpha 90.00
_cell_angle_beta 90.00
_cell_angle_gamma 90.00
loop_
_atom_site_label
_atom_site_type_symbol
_atom_site_fract_x
_atom_site_fract_y
_atom_site_fract_z
Ca1 Ca 0.000 0.000 0.000
Pb1 Pb 0.000 0.500 0.000
I1 I 0.500 0.500 0.500
Br1 Br 0.000 0.000 0.500

=====

Entry 6:
# Pm8Al2Hg, optimized geometry, DFT GGA-PBE
# E_form: -2.01 eV per formula unit
# excess energy over the best structure of this formula in the dataset: 0 meV per atom
# E: -4.345 eV per atom
data_Pm8Al2Hg
_symmetry_space_group_name_H-M 'C 1 2/m 1'
_symmetry_Int_Tables_number 12
_cell_length_a 18.172
_cell_length_b 5.124
_cell_length_c 7.501
_cell_angle_alpha 90.00
_cell_angle_beta 107.87
_cell_angle_gamma 90.00
loop_
_symmetry_equiv_pos_as_xyz
'x,y,z'
'-x,-y,-z'
'-x,y,-z'
'x,-y,z'
'x+1/2,y+1/2,z'
'-x+1/2,-y+1/2,-z'
'-x+1/2,y+1/2,-z'
'x+1/2,-y+1/2,z'
loop_
_atom_site_label
_atom_site_type_symbol
_atom_site_fract_x
_atom_site_fract_y
_atom_site_fract_z
Pm1 Pm 0.023 0.000 0.256
Pm2 Pm 0.095 0.500 0.965
Pm3 Pm 0.166 0.500 0.445
Pm4 Pm 0.197 0.000 0.791
Al1 Al 0.190 0.000 0.202
Hg1 Hg 0.000 0.500 0.500

=====

Entry 7:
# Mg5ZrAg6, optimized geometry, DFT GGA-PBE
# E_form: -2.00 eV per formula unit
# E: -2.969 eV per atom
data_Mg5ZrAg6
_symmetry_space_group_name_H-M 'I m m m'
_symmetry_Int_Tables_number 71
_symmetry_space_group_name_Hall '-I 2 2'
_cell_length_a 4.746
_cell_length_b 6.774
_cell_length_c 14.161
_cell_angle_alpha 90.00
_cell_angle_beta 90.00
_cell_angle_gamma 90.00
loop_
_atom_site_label
_atom_site_type_symbol
_atom_site_fract_x
_atom_site_fract_y
_atom_site_fract_z
Mg1 Mg 0.000 0.000 0.000
Mg2 Mg 0.000 0.000 0.337
Mg3 Mg 0.000 0.500 0.333
Zr1 Zr 0.000 0.500 0.000
Ag1 Ag 0.000 0.244 0.168
Ag2 Ag 0.000 0.256 0.500

=====

Entry 8:
# Cs2Cd4Bi5, optimized geometry, DFT GGA-PBE
# E_form: -1.41 eV per formula unit
# E: -2.381 eV per atom
data_Cs2Cd4Bi5
_symmetry_space_group_name_H-M 'F m m m'
_symmetry_Int_Tables_number 69
_symmetry_space_group_name_Hall '-F 2 2'
_cell_length_a 7.379
_cell_length_b 12.679
_cell_length_c 17.878
_cell_angle_alpha 90.00
_cell_angle_beta 90.00
_cell_angle_gamma 90.00
loop_
_atom_site_label
_atom_site_type_symbol
_atom_site_fract_x
_atom_site_fract_y
_atom_site_fract_z
Cs1 Cs 0.000 0.000 0.131
Cd1 Cd 0.000 0.163 0.370
Bi1 Bi 0.000 0.000 0.500
Bi2 Bi 0.250 0.250 0.000
Bi3 Bi 0.250 0.250 0.250

=====

Entry 9:
# DyZnAu4, optimized geometry, DFT GGA-PBE
# E_form: -2.44 eV per formula unit
# excess energy over the best structure of this formula in the dataset: 45 meV per atom
# E: -3.571 eV per atom
data_DyZnAu4
_symmetry_space_group_name_H-M 'C 1 2/m 1'
_symmetry_Int_Tables_number 12
_cell_length_a 10.853
_cell_length_b 6.904
_cell_length_c 7.394
_cell_angle_alpha 90.00
_cell_angle_beta 115.79
_cell_angle_gamma 90.00
loop_
_symmetry_equiv_pos_as_xyz
'x,y,z'
'-x,-y,-z'
'-x,y,-z'
'x,-y,z'
'x+1/2,y+1/2,z'
'-x+1/2,-y+1/2,-z'
'-x+1/2,y+1/2,-z'
'x+1/2,-y+1/2,z'
loop_
_atom_site_label
_atom_site_type_symbol
_atom_site_fract_x
_atom_site_fract_y
_atom_site_fract_z
Dy1 Dy 0.129 0.000 0.297
Zn1 Zn 0.090 0.500 0.269
Au1 Au 0.000 0.301 0.500
Au2 Au 0.117 0.266 0.971
Au3 Au 0.171 0.000 0.721

=====

Entry 10:
# PmPr2NbN4, optimized geometry, DFT GGA-PBE
# ΔE_f (raw): -101.2 kJ/mol of atoms
# E: -8.259 eV per atom
data_PmPr2NbN4
_symmetry_space_group_name_H-M 'C m c m'
_symmetry_Int_Tables_number 63
_symmetry_space_group_name_Hall '-C 2c 2'
_cell_length_a 3.491
_cell_length_b 12.220
_cell_length_c 12.708
_cell_angle_alpha 90.00
_cell_angle_beta 90.00
_cell_angle_gamma 90.00
loop_
_atom_site_label
_atom_site_type_symbol
_atom_site_fract_x
_atom_site_fract_y
_atom_site_fract_z
Pm1 Pm 0.000 0.102 0.250
Pr1 Pr 0.000 0.368 0.035
Nb1 Nb 0.000 0.161 0.750
N1 N 0.000 0.000 0.000
N2 N 0.000 0.267 0.634
N3 N 0.000 0.443 0.250

=====

Entry 11:
# LaDy3Sn2, optimized geometry, DFT GGA-PBE
# E_form: -3.09 eV per formula unit
# E: -4.971 eV per atom
data_LaDy3Sn2
_symmetry_space_group_name_H-M 'C 1 2/m 1'
_symmetry_Int_Tables_number 12
_cell_length_a 18.187
_cell_length_b 4.655
_cell_length_c 9.518
_cell_angle_alpha 90.00
_cell_angle_beta 113.59
_cell_angle_gamma 90.00
loop_
_symmetry_equiv_pos_as_xyz
'x,y,z'
'-x,-y,-z'
'-x,y,-z'
'x,-y,z'
'x+1/2,y+1/2,z'
'-x+1/2,-y+1/2,-z'
'-x+1/2,y+1/2,-z'
'x+1/2,-y+1/2,z'
loop_
_atom_site_label
_atom_site_type_symbol
_atom_site_fract_x
_atom_site_fract_y
_atom_site_fract_z
La1 La 0.115 0.000 0.139
Dy1 Dy 0.057 0.000 0.691
Dy2 Dy 0.142 0.500 0.482
Dy3 Dy 0.193 0.500 0.887
Sn1 Sn 0.013 0.500 0.855
Sn2 Sn 0.240 0.000 0.707

=====

Entry 12:
# HoLuHgPb, optimized geometry, DFT GGA-PBE
# E_form: -1.60 eV per formula unit
# E: -3.676 eV per atom
data_HoLuHgPb
_symmetry_space_group_name_H-M 'F -4 3 m'
_symmetry_Int_Tables_number 216
_symmetry_space_group_name_Hall 'F -4 2 3'
_cell_length_a 7.476
_cell_length_b 7.476
_cell_length_c 7.476
_cell_angle_alpha 90.00
_cell_angle_beta 90.00
_cell_angle_gamma 90.00
loop_
_atom_site_label
_atom_site_type_symbol
_atom_site_fract_x
_atom_site_fract_y
_atom_site_fract_z
Ho1 Ho 0.000 0.000 0.000
Lu1 Lu 0.000 0.000 0.500
Hg1 Hg 0.250 0.250 0.750
Pb1 Pb 0.250 0.250 0.250